Record 1
Entry from Alexandria: AgSe at its PBEsol-relaxed geometry (meta-GGA SCAN).

Output
Formation energy (no corrections) = -0.03 eV/atom
Crystal system = cubic
Fermi-level density of states = 3.14 states/eV per cell

The structure in CIF format:
```
data_AgSe
_chemical_formula_sum 'Ag4 Se4'
_symmetry_space_group_name_H-M 'F m -3 m'
_symmetry_Int_Tables_number 225
_symmetry_space_group_name_Hall '-F 4 2 3'
_cell_length_a 5.395
_cell_length_b 5.395
_cell_length_c 5.395
_cell_angle_alpha 90.00
_cell_angle_beta 90.00
_cell_angle_gamma 90.00
loop_
_atom_site_label
_atom_site_fract_x
_atom_site_fract_y
_atom_site_fract_z
Ag1 0.000 0.000 0.000
Se1 0.000 0.000 0.500
```

---

Record 2
Entry from Alexandria: LiSc2Pt at its PBEsol-relaxed geometry (meta-GGA SCAN).

Output
Crystal system = tetragonal
Fermi-level density of states = 2.90 states/eV per cell
Distance to the lowest polymorph of the same formula = 101 meV/atom

The structure in CIF format:
```
data_LiSc2Pt
_chemical_formula_sum 'Li1 Sc2 Pt1'
_symmetry_space_group_name_H-M 'P 4/m m m'
_symmetry_Int_Tables_number 123
_symmetry_space_group_name_Hall '-P 4 2'
_cell_length_a 4.533
_cell_length_b 4.533
_cell_length_c 3.415
_cell_angle_alpha 90.00
_cell_angle_beta 90.00
_cell_angle_gamma 90.00
loop_
_atom_site_label
_atom_site_fract_x
_atom_site_fract_y
_atom_site_fract_z
Li1 0.000 0.000 0.000
Sc1 0.000 0.500 0.500
Pt1 0.500 0.500 0.000
```

---

Record 3
Entry from Alexandria: KAlCu3 at its PBEsol-relaxed geometry (meta-GGA SCAN).

Output
Electronic total energy = -10.49 eV/atom
Crystal system = cubic
Fermi-level density of states = 2.37 states/eV per cell

The structure in CIF format:
```
data_KAlCu3
_chemical_formula_sum 'K1 Al1 Cu3'
_symmetry_space_group_name_H-M 'P m -3 m'
_symmetry_Int_Tables_number 221
_symmetry_space_group_name_Hall '-P 4 2 3'
_cell_length_a 4.792
_cell_length_b 4.792
_cell_length_c 4.792
_cell_angle_alpha 90.00
_cell_angle_beta 90.00
_cell_angle_gamma 90.00
loop_
_atom_site_label
_atom_site_fract_x
_atom_site_fract_y
_atom_site_fract_z
K1 0.000 0.000 0.000
Al1 0.500 0.500 0.500
Cu1 0.000 0.000 0.500
```

---

Record 4
Entry from Alexandria: GdB4 at its PBEsol-relaxed geometry (meta-GGA SCAN).

Output
Electronic total energy = -18.34 eV/atom
Crystal system = tetragonal
Fermi-level density of states = 2.28 states/eV per cell

The structure in CIF format:
```
data_GdB4
_chemical_formula_sum 'Gd4 B16'
_symmetry_space_group_name_H-M 'P 4/m b m'
_symmetry_Int_Tables_number 127
_symmetry_space_group_name_Hall '-P 4 2ab'
_cell_length_a 7.094
_cell_length_b 7.094
_cell_length_c 4.013
_cell_angle_alpha 90.00
_cell_angle_beta 90.00
_cell_angle_gamma 90.00
loop_
_atom_site_label
_atom_site_fract_x
_atom_site_fract_y
_atom_site_fract_z
Gd1 0.184 0.316 0.000
B1 0.000 0.000 0.203
B2 0.039 0.824 0.500
B3 0.087 0.587 0.500
```

---

Record 5
Entry from Alexandria: Y2ScAg2 at its PBEsol-relaxed geometry (meta-GGA SCAN).

Output
Electronic total energy = -26.81 eV/atom
Crystal system = tetragonal
Fermi-level density of states = 14.15 states/eV per cell

The structure in CIF format:
```
data_Y2ScAg2
_chemical_formula_sum 'Y4 Sc2 Ag4'
_symmetry_space_group_name_H-M 'P 4/m b m'
_symmetry_Int_Tables_number 127
_symmetry_space_group_name_Hall '-P 4 2ab'
_cell_length_a 8.082
_cell_length_b 8.082
_cell_length_c 3.620
_cell_angle_alpha 90.00
_cell_angle_beta 90.00
_cell_angle_gamma 90.00
loop_
_atom_site_label
_atom_site_fract_x
_atom_site_fract_y
_atom_site_fract_z
Y1 0.171 0.329 0.000
Sc1 0.000 0.000 0.500
Ag1 0.127 0.627 0.500
```

---

Record 6
Entry from Alexandria: Fe2Sb at its PBEsol-relaxed geometry (meta-GGA SCAN).

Output
Formation energy (no corrections) = 0.22 eV/atom
Crystal system = orthorhombic
Fermi-level density of states = 9.15 states/eV per cell

The structure in CIF format:
```
data_Fe2Sb
_chemical_formula_sum 'Fe8 Sb4'
_symmetry_space_group_name_H-M 'C m c m'
_symmetry_Int_Tables_number 63
_symmetry_space_group_name_Hall '-C 2c 2'
_cell_length_a 3.225
_cell_length_b 12.629
_cell_length_c 4.120
_cell_angle_alpha 90.00
_cell_angle_beta 90.00
_cell_angle_gamma 90.00
loop_
_atom_site_label
_atom_site_fract_x
_atom_site_fract_y
_atom_site_fract_z
Fe1 0.000 0.075 0.250
Fe2 0.000 0.266 0.750
Sb1 0.000 0.400 0.250
```

---

Record 7
Entry from Alexandria: BePt2 at its PBEsol-relaxed geometry (meta-GGA SCAN).

Output
Electronic total energy = -48.75 eV/atom
Crystal system = orthorhombic
Fermi-level density of states = 5.69 states/eV per cell

The structure in CIF format:
```
data_BePt2
_chemical_formula_sum 'Be4 Pt8'
_symmetry_space_group_name_H-M 'C m c m'
_symmetry_Int_Tables_number 63
_symmetry_space_group_name_Hall '-C 2c 2'
_cell_length_a 2.727
_cell_length_b 12.742
_cell_length_c 4.465
_cell_angle_alpha 90.00
_cell_angle_beta 90.00
_cell_angle_gamma 90.00
loop_
_atom_site_label
_atom_site_fract_x
_atom_site_fract_y
_atom_site_fract_z
Be1 0.000 0.217 0.250
Pt1 0.000 0.135 0.750
Pt2 0.000 0.434 0.750
```

---

Record 8
Entry from Alexandria: Zn5Tc at its PBEsol-relaxed geometry (meta-GGA SCAN).

Output
Crystal system = orthorhombic
Fermi-level density of states = 4.98 states/eV per cell
Distance to the lowest polymorph of the same formula = 51 meV/atom

The structure in CIF format:
```
data_Zn5Tc
_chemical_formula_sum 'Zn10 Tc2'
_symmetry_space_group_name_H-M 'A m m 2'
_symmetry_Int_Tables_number 38
_cell_length_a 4.430
_cell_length_b 2.651
_cell_length_c 14.083
_cell_angle_alpha 90.00
_cell_angle_beta 90.00
_cell_angle_gamma 90.00
loop_
_symmetry_equiv_pos_as_xyz
'x,y,z'
'-x,-y,z'
'-x,y,z'
'x,-y,z'
'x,y+1/2,z+1/2'
'-x,-y+1/2,z+1/2'
'-x,y+1/2,z+1/2'
'x,-y+1/2,z+1/2'
loop_
_atom_site_label
_atom_site_fract_x
_atom_site_fract_y
_atom_site_fract_z
Zn1 0.000 0.000 0.000
Zn2 0.000 0.000 0.330
Zn3 0.500 0.000 0.111
Zn4 0.500 0.000 0.443
Zn5 0.500 0.000 0.774
Tc1 0.000 0.000 0.666
```

---

Record 9
Entry from Alexandria: LiFePO4 at its PBEsol-relaxed geometry (meta-GGA SCAN).

Output
Formation energy (no corrections) = -2.21 eV/atom
Crystal system = tetragonal
Distance to the lowest polymorph of the same formula = 40 meV/atom

The structure in CIF format:
```
data_LiFePO4
_chemical_formula_sum 'Li2 Fe2 P2 O8'
_symmetry_space_group_name_H-M 'I -4'
_symmetry_Int_Tables_number 82
_cell_length_a 4.302
_cell_length_b 4.302
_cell_length_c 8.967
_cell_angle_alpha 90.00
_cell_angle_beta 90.00
_cell_angle_gamma 90.00
loop_
_symmetry_equiv_pos_as_xyz
'x,y,z'
'y,-x,-z'
'-x,-y,z'
'-y,x,-z'
'x+1/2,y+1/2,z+1/2'
'y+1/2,-x+1/2,-z+1/2'
'-x+1/2,-y+1/2,z+1/2'
'-y+1/2,x+1/2,-z+1/2'
loop_
_atom_site_label
_atom_site_fract_x
_atom_site_fract_y
_atom_site_fract_z
Li1 0.000 0.000 0.000
Fe1 0.000 0.500 0.750
P1 0.000 0.000 0.500
O1 0.189 0.772 0.599
```

---

Record 10
Entry from Alexandria: Ir2W at its PBEsol-relaxed geometry (meta-GGA SCAN).

Output
Electronic total energy = -70.72 eV/atom
Crystal system = hexagonal
Fermi-level density of states = 2.39 states/eV per cell

The structure in CIF format:
```
data_Ir2W
_chemical_formula_sum 'Ir2 W1'
_symmetry_space_group_name_H-M 'P 6/m m m'
_symmetry_Int_Tables_number 191
_symmetry_space_group_name_Hall '-P 6 2'
_cell_length_a 4.3362
_cell_length_b 4.3362
_cell_length_c 2.7120
_cell_angle_alpha 90.00
_cell_angle_beta 90.00
_cell_angle_gamma 120.00
loop_
_atom_site_label
_atom_site_fract_x
_atom_site_fract_y
_atom_site_fract_z
Ir1 0.3333 0.6667 0.0000
W1 0.0000 0.0000 0.5000
```

---

Record 11
Entry from Alexandria: Cd2InHg at its PBEsol-relaxed geometry (meta-GGA SCAN).

Output
Crystal system = orthorhombic
Fermi-level density of states = 2.68 states/eV per cell
Distance to the lowest polymorph of the same formula = 31 meV/atom

The structure in CIF format:
```
data_Cd2InHg
_chemical_formula_sum 'Cd4 In2 Hg2'
_symmetry_space_group_name_H-M 'I m m m'
_symmetry_Int_Tables_number 71
_symmetry_space_group_name_Hall '-I 2 2'
_cell_length_a 3.053
_cell_length_b 5.543
_cell_length_c 10.762
_cell_angle_alpha 90.00
_cell_angle_beta 90.00
_cell_angle_gamma 90.00
loop_
_atom_site_label
_atom_site_fract_x
_atom_site_fract_y
_atom_site_fract_z
Cd1 0.000 0.000 0.244
In1 0.000 0.500 0.000
Hg1 0.000 0.500 0.500
```

---

Record 12
Entry from Alexandria: ZnCr2Hg at its PBEsol-relaxed geometry (meta-GGA SCAN).

Output
Crystal system = tetragonal
Fermi-level density of states = 1.94 states/eV per cell
Distance to the lowest polymorph of the same formula = 95 meV/atom

The structure in CIF format:
```
data_ZnCr2Hg
_chemical_formula_sum 'Zn1 Cr2 Hg1'
_symmetry_space_group_name_H-M 'P 4 m m'
_symmetry_Int_Tables_number 99
_cell_length_a 3.002
_cell_length_b 3.002
_cell_length_c 6.372
_cell_angle_alpha 90.00
_cell_angle_beta 90.00
_cell_angle_gamma 90.00
loop_
_symmetry_equiv_pos_as_xyz
'x,y,z'
'-y,x,z'
'-x,-y,z'
'y,-x,z'
'-x,y,z'
'y,x,z'
'x,-y,z'
'-y,-x,z'
loop_
_atom_site_label
_atom_site_fract_x
_atom_site_fract_y
_atom_site_fract_z
Zn1 0.000 0.000 0.000
Cr1 0.000 0.000 0.409
Cr2 0.500 0.500 0.251
Hg1 0.500 0.500 0.712
```

---

Record 13
Entry from Alexandria: MgAg at its PBEsol-relaxed geometry (meta-GGA SCAN).

Output
Electronic total energy = -18.40 eV/atom
Crystal system = monoclinic
Fermi-level density of states = 2.31 states/eV per cell

The structure in CIF format:
```
data_MgAg
_chemical_formula_sum 'Mg4 Ag4'
_symmetry_space_group_name_H-M 'C 1 2/m 1'
_symmetry_Int_Tables_number 12
_cell_length_a 10.055
_cell_length_b 3.208
_cell_length_c 4.699
_cell_angle_alpha 90.00
_cell_angle_beta 108.60
_cell_angle_gamma 90.00
loop_
_symmetry_equiv_pos_as_xyz
'x,y,z'
'-x,-y,-z'
'-x,y,-z'
'x,-y,z'
'x+1/2,y+1/2,z'
'-x+1/2,-y+1/2,-z'
'-x+1/2,y+1/2,-z'
'x+1/2,-y+1/2,z'
loop_
_atom_site_label
_atom_site_fract_x
_atom_site_fract_y
_atom_site_fract_z
Mg1 0.113 0.000 0.331
Ag1 0.131 0.500 0.845
```